First-principles (PBE) data for a relaxed structure of CaYGa, as listed in the Alexandria database.

## Properties
- Energy above the lowest structure with this stoichiometry: 166 meV/atom

```
data_CaYGa
_chemical_formula_sum 'Ca4 Y4 Ga4'
_cell_length_a 7.1643
_cell_length_b 7.1643
_cell_length_c 7.1643
_cell_angle_alpha 90.00
_cell_angle_beta 90.00
_cell_angle_gamma 90.00
_symmetry_space_group_name_H-M 'F -4 3 m'
_symmetry_Int_Tables_number 216
_symmetry_space_group_name_Hall 'F -4 2 3'
loop_
_atom_site_label
_atom_site_type_symbol
_atom_site_fract_x
_atom_site_fract_y
_atom_site_fract_z
Ca1 Ca 0.0000 0.0000 0.0000
Y1 Y 0.0000 0.0000 0.5000
Ga1 Ga 0.2500 0.2500 0.7500
```


First-principles (PBE) data for a relaxed structure of CaYGa3, as listed in the Alexandria database.

## Properties
- Energy above the lowest structure with this stoichiometry: 40 meV/atom

```
data_CaYGa3
_chemical_formula_sum 'Ca4 Y4 Ga12'
_cell_length_a 4.1446
_cell_length_b 26.2177
_cell_length_c 4.2858
_cell_angle_alpha 90.00
_cell_angle_beta 90.00
_cell_angle_gamma 90.00
_symmetry_space_group_name_H-M 'C m c m'
_symmetry_Int_Tables_number 63
_symmetry_space_group_name_Hall '-C 2c 2'
loop_
_atom_site_label
_atom_site_type_symbol
_atom_site_fract_x
_atom_site_fract_y
_atom_site_fract_z
Ca1 Ca 0.0000 0.0746 0.2500
Y1 Y 0.0000 0.2059 0.7500
Ga1 Ga 0.0000 0.3225 0.7500
Ga2 Ga 0.0000 0.3796 0.2500
Ga3 Ga 0.0000 0.4760 0.2500
```


First-principles (PBE) data for a relaxed structure of CaY3Ga, as listed in the Alexandria database.

## Properties
- Energy above the lowest structure with this stoichiometry: 1007 meV/atom

```
data_CaY3Ga
_chemical_formula_sum 'Ca1 Y3 Ga1'
_cell_length_a 5.5271
_cell_length_b 5.5271
_cell_length_c 5.5271
_cell_angle_alpha 90.00
_cell_angle_beta 90.00
_cell_angle_gamma 90.00
_symmetry_space_group_name_H-M 'P m -3 m'
_symmetry_Int_Tables_number 221
_symmetry_space_group_name_Hall '-P 4 2 3'
loop_
_atom_site_label
_atom_site_type_symbol
_atom_site_fract_x
_atom_site_fract_y
_atom_site_fract_z
Ca1 Ca 0.0000 0.0000 0.0000
Y1 Y 0.0000 0.0000 0.5000
Ga1 Ga 0.5000 0.5000 0.5000
```


First-principles (PBE) data for a relaxed structure of CaYGa, as listed in the Alexandria database.

## Properties
- Energy above the lowest structure with this stoichiometry: 85 meV/atom

```
data_CaYGa
_chemical_formula_sum 'Ca2 Y2 Ga2'
_cell_length_a 3.5945
_cell_length_b 3.5945
_cell_length_c 13.1844
_cell_angle_alpha 90.00
_cell_angle_beta 90.00
_cell_angle_gamma 90.00
_symmetry_space_group_name_H-M 'I 4 m m'
_symmetry_Int_Tables_number 107
_symmetry_space_group_name_Hall 'I 4 -2'
loop_
_atom_site_label
_atom_site_type_symbol
_atom_site_fract_x
_atom_site_fract_y
_atom_site_fract_z
Ca1 Ca 0.0000 0.0000 0.0000
Y1 Y 0.0000 0.0000 0.2737
Ga1 Ga 0.0000 0.0000 0.6478
```


Which calculated volume belongs to each record? In order, 30.6; 23.3; 33.8; 28.4 Å³ per atom.
Which ΔE_f belongs to each record? In order, -5.90; -12.50; 23.44; -7.76 kcal/mol of atoms.